(1)
Below is crystalline In3Si5 at its relaxed geometry, with properties calculated at the PBE level.

## Properties
Total energy in eV per atom: -3.94
Uncorrected formation energy in eV per atom: 0.475
Distance to the lowest polymorph of the same formula in eV per atom: 0.081
V in Å³ per cell: 334

a b c (Å): 8.785 8.785 4.999
angles (deg): 90.00 90.00 120.00
Element x y z (fractional)
Si  0.333  0.667  0.000
Si  0.667  0.333  0.500
Si  0.667  0.333  0.000
Si  0.333  0.667  0.500
Si  0.163  0.000  0.250
Si  0.837  0.000  0.750
Si  0.000  0.163  0.250
Si  0.837  0.837  0.250
Si  0.163  0.163  0.750
Si  0.000  0.837  0.750
In  0.618  0.000  0.250
In  0.382  0.000  0.750
In  0.000  0.618  0.250
In  0.382  0.382  0.250
In  0.618  0.618  0.750
In  0.000  0.382  0.750



(2)
Below is crystalline In4Si3 at its relaxed geometry, with properties calculated at the PBE level.

## Properties
Total energy in eV per atom: -3.55
Uncorrected formation energy in eV per atom: 0.337
V in Å³ per cell: 156

a b c (Å): 5.241 5.241 6.564
angles (deg): 90.00 90.00 120.00
Element x y z (fractional)
In  0.000  0.000  0.257
In  0.000  0.000  0.743
In  0.667  0.333  0.500
In  0.333  0.667  0.500
Si  0.000  0.500  0.000
Si  0.500  0.500  0.000
Si  0.500  0.000  0.000



(3)
Below is crystalline InSi at its relaxed geometry, with properties calculated at the PBE level.

## Properties
Total energy in eV per atom: -3.66
Uncorrected formation energy in eV per atom: 0.418
V in Å³ per cell: 87

a b c (Å): 4.023 4.795 4.510
angles (deg): 90.00 90.00 90.00
Element x y z (fractional)
In  0.000  0.000  0.975
In  0.000  0.500  0.358
Si  0.500  0.000  0.539
Si  0.500  0.500  0.795



Which value of uncorrected formation energy does entry 1 give?
0.475 eV per atom